A relaxed structure of PmGdSn, computed with PBE-GGA.

```
data_PmGdSn
_cell_length_a 4.146
_cell_length_b 4.146
_cell_length_c 10.112
_cell_angle_alpha 90.00
_cell_angle_beta 90.00
_cell_angle_gamma 90.00
_symmetry_space_group_name_H-M 'I 4 m m'
_symmetry_Int_Tables_number 107
_symmetry_space_group_name_Hall 'I 4 -2'
loop_
_atom_site_label
_atom_site_type_symbol
_atom_site_fract_x
_atom_site_fract_y
_atom_site_fract_z
Pm1 Pm 0.000 0.000 0.000
Gd1 Gd 0.000 0.000 0.309
Sn1 Sn 0.000 0.000 0.657
```

Summary:
- Energy relative to the lowest polymorph listed for this composition: 0.000 eV per atom
- ΔE_f: -0.501 eV per atom
- Calculated total energy: -0.29811 hartree per atom


A relaxed structure of PmGdSn, computed with PBE-GGA.

```
data_PmGdSn
_cell_length_a 7.401
_cell_length_b 7.401
_cell_length_c 7.401
_cell_angle_alpha 90.00
_cell_angle_beta 90.00
_cell_angle_gamma 90.00
_symmetry_space_group_name_H-M 'F -4 3 m'
_symmetry_Int_Tables_number 216
_symmetry_space_group_name_Hall 'F -4 2 3'
loop_
_atom_site_label
_atom_site_type_symbol
_atom_site_fract_x
_atom_site_fract_y
_atom_site_fract_z
Pm1 Pm 0.000 0.000 0.000
Gd1 Gd 0.000 0.000 0.500
Sn1 Sn 0.250 0.250 0.750
```

Summary:
- Energy relative to the lowest polymorph listed for this composition: 0.066 eV per atom
- ΔE_f: -0.435 eV per atom
- Calculated total energy: -0.29569 hartree per atom


A relaxed structure of PmGdTlSn, computed with PBE-GGA.

```
data_PmGdTlSn
_cell_length_a 7.689
_cell_length_b 7.689
_cell_length_c 7.689
_cell_angle_alpha 90.00
_cell_angle_beta 90.00
_cell_angle_gamma 90.00
_symmetry_space_group_name_H-M 'F -4 3 m'
_symmetry_Int_Tables_number 216
_symmetry_space_group_name_Hall 'F -4 2 3'
loop_
_atom_site_label
_atom_site_type_symbol
_atom_site_fract_x
_atom_site_fract_y
_atom_site_fract_z
Pm1 Pm 0.000 0.000 0.000
Gd1 Gd 0.000 0.000 0.500
Tl1 Tl 0.250 0.250 0.250
Sn1 Sn 0.250 0.250 0.750
```

Summary:
- ΔE_f: -0.499 eV per atom
- Calculated total energy: -0.24987 hartree per atom


A relaxed structure of PmGdTmSn, computed with PBE-GGA.

```
data_PmGdTmSn
_cell_length_a 7.712
_cell_length_b 7.712
_cell_length_c 7.712
_cell_angle_alpha 90.00
_cell_angle_beta 90.00
_cell_angle_gamma 90.00
_symmetry_space_group_name_H-M 'F -4 3 m'
_symmetry_Int_Tables_number 216
_symmetry_space_group_name_Hall 'F -4 2 3'
loop_
_atom_site_label
_atom_site_type_symbol
_atom_site_fract_x
_atom_site_fract_y
_atom_site_fract_z
Pm1 Pm 0.000 0.000 0.000
Gd1 Gd 0.000 0.000 0.500
Tm1 Tm 0.250 0.250 0.750
Sn1 Sn 0.250 0.250 0.250
```

Summary:
- ΔE_f: -0.268 eV per atom
- Calculated total energy: -0.26073 hartree per atom


What did the second record say?
A relaxed structure of PmGdSn, computed with PBE-GGA.

```
data_PmGdSn
_cell_length_a 7.401
_cell_length_b 7.401
_cell_length_c 7.401
_cell_angle_alpha 90.00
_cell_angle_beta 90.00
_cell_angle_gamma 90.00
_symmetry_space_group_name_H-M 'F -4 3 m'
_symmetry_Int_Tables_number 216
_symmetry_space_group_name_Hall 'F -4 2 3'
loop_
_atom_site_label
_atom_site_type_symbol
_atom_site_fract_x
_atom_site_fract_y
_atom_site_fract_z
Pm1 Pm 0.000 0.000 0.000
Gd1 Gd 0.000 0.000 0.500
Sn1 Sn 0.250 0.250 0.750
```

Summary:
- Energy relative to the lowest polymorph listed for this composition: 0.066 eV per atom
- ΔE_f: -0.435 eV per atom
- Calculated total energy: -0.29569 hartree per atom


What is the formula in the fourth record?
PmGdTmSn